Entry 1:
A plane-wave DFT calculation with PBE-GGA was carried out for a relaxed K3CoAu crystal.

Geometry as extended XYZ:
```
5
Lattice="6.018 0.000 0.000 0.000 6.018 0.000 0.000 0.000 6.018" Properties=species:S:1:pos:R:3 pbc="T T T"
K 0.000 0.000 3.009
K 0.000 3.009 0.000
K 3.009 0.000 0.000
Au 3.009 3.009 3.009
Co 0.000 0.000 0.000
```

The value obtained for the formation energy is 0.640 eV/atom. As for the density of states at the Fermi level: 6.75 states/eV/f.u. The calculation puts the total DFT energy (no corrections) at -10.47 eV per cell. Its magnetization is 1.09 μB per formula unit. Its space group is No. 221.

---

Entry 2:
A plane-wave DFT calculation with PBE-GGA was carried out for a relaxed PmScPaPb crystal.

Geometry as extended XYZ:
```
4
Lattice="-3.355 -3.790 -1.628 1.553 -5.085 -0.047 -2.037 -3.434 3.511" Properties=species:S:1:pos:R:3 pbc="T T T"
Pb -1.920 -6.155 0.918
Pa 0.000 0.000 0.000
Pm -2.879 -9.232 1.377
Sc -0.960 -3.077 0.459
```

The value obtained for the formation energy is 0.149 eV/atom. As for the density of states at the Fermi level: 7.59 states/eV/f.u. The calculation puts the total DFT energy (no corrections) at -23.69 eV per cell. Its magnetization is 1.39 μB per formula unit. Its space group is No. 216.

---

Entry 3:
A plane-wave DFT calculation with PBE-GGA was carried out for a relaxed SbRuPb crystal.

Geometry as extended XYZ:
```
3
Lattice="-0.165 1.564 -4.347 2.924 -1.666 -3.168 -1.568 -2.734 -3.381" Properties=species:S:1:pos:R:3 pbc="T T T"
Sb 0.000 0.000 0.000
Pb 0.596 -1.418 -5.448
Ru 0.298 -0.709 -2.724
```

The relative energy among the computed polymorphs comes out at 144 meV per atom. As for the density of states at the Fermi level: 3.38 states/eV/f.u. The calculation puts the total DFT energy (no corrections) at -16.62 eV per cell. Its magnetization is 0.00 μB per formula unit. Its formation energy (no corrections) is 0.1621 eV per atom. Its space group is No. 216.

---

Entry 4:
A plane-wave DFT calculation with PBE-GGA was carried out for a relaxed Ce6MgTl2 crystal.

Geometry as extended XYZ:
```
9
Lattice="-0.556 2.387 1.924 0.637 -5.660 7.206 7.489 4.284 -3.151" Properties=species:S:1:pos:R:3 pbc="T T T"
Tl 2.365 0.042 5.678
Tl 5.205 0.969 0.301
Mg 7.489 4.284 -3.151
Ce 2.371 0.745 2.284
Ce 5.199 0.266 3.695
Ce 2.164 2.590 -0.065
Ce 4.770 4.081 -1.162
Ce -0.070 -0.652 3.311
Ce 7.640 1.662 2.667
```

The value obtained for the formation energy is -0.047 eV/atom. As for the density of states at the Fermi level: 25.51 states/eV/f.u. The calculation puts the total DFT energy (no corrections) at -42.35 eV per cell. Its magnetization is 3.35 μB per formula unit. Its space group is No. 191.